# AsPt2Br PBE-GGA relaxed
data_AsPt2Br
_symmetry_space_group_name_H-M 'I 4/m m m'
_symmetry_Int_Tables_number 139
_symmetry_space_group_name_Hall '-I 4 2'
_cell_length_a 5.217
_cell_length_b 5.217
_cell_length_c 5.631
_cell_angle_alpha 90.00
_cell_angle_beta 90.00
_cell_angle_gamma 90.00
loop_
_atom_site_label
_atom_site_type_symbol
_atom_site_fract_x
_atom_site_fract_y
_atom_site_fract_z
As1 As 0.000 0.000 0.000
Pt1 Pt 0.000 0.500 0.000
Br1 Br 0.000 0.000 0.500
# Excess energy over the best structure of this formula in the dataset in meV per atom: 411
# Mass density in g/cm3: 11.812
# M_tot in Bohr magnetons per cell: 0.0
# Raw formation energy in eV/f.u.: 0.99
# Uncorrected energy in eV for the cell shown: -34.8
# Volume in A^3/atom: 19.15


# Sm2YBi PBE-GGA relaxed
data_Sm2YBi
_symmetry_space_group_name_H-M 'C m c m'
_symmetry_Int_Tables_number 63
_symmetry_space_group_name_Hall '-C 2c 2'
_cell_length_a 4.664
_cell_length_b 23.261
_cell_length_c 4.643
_cell_angle_alpha 90.00
_cell_angle_beta 90.00
_cell_angle_gamma 90.00
loop_
_atom_site_label
_atom_site_type_symbol
_atom_site_fract_x
_atom_site_fract_y
_atom_site_fract_z
Sm1 Sm 0.000 0.060 0.250
Sm2 Sm 0.000 0.436 0.250
Y1 Y 0.000 0.307 0.750
Bi1 Bi 0.000 0.171 0.750
# Excess energy over the best structure of this formula in the dataset in meV per atom: 0
# Mass density in g/cm3: 7.894
# M_tot in Bohr magnetons per cell: 0.0
# Uncorrected energy in eV for the cell shown: -86.0
# Volume in A^3/atom: 31.48
# ΔH_f (0 K) in eV per formula unit: -1.7


# SrMgRu2 PBE-GGA relaxed
data_SrMgRu2
_symmetry_space_group_name_H-M 'I 4/m m m'
_symmetry_Int_Tables_number 139
_symmetry_space_group_name_Hall '-I 4 2'
_cell_length_a 4.265
_cell_length_b 4.265
_cell_length_c 8.625
_cell_angle_alpha 90.00
_cell_angle_beta 90.00
_cell_angle_gamma 90.00
loop_
_atom_site_label
_atom_site_type_symbol
_atom_site_fract_x
_atom_site_fract_y
_atom_site_fract_z
Sr1 Sr 0.000 0.000 0.000
Mg1 Mg 0.000 0.000 0.500
Ru1 Ru 0.000 0.500 0.250
# Mass density in g/cm3: 6.648
# M_tot in Bohr magnetons per cell: 4.5
# Uncorrected energy in eV for the cell shown: -38.3
# Volume in A^3/atom: 19.61
# ΔH_f (0 K) in eV per formula unit: 2.7


# SrLaTc2 PBE-GGA relaxed
data_SrLaTc2
_symmetry_space_group_name_H-M 'P 1 2/m 1'
_symmetry_Int_Tables_number 10
_cell_length_a 3.380
_cell_length_b 4.748
_cell_length_c 6.770
_cell_angle_alpha 90.00
_cell_angle_beta 98.78
_cell_angle_gamma 90.00
loop_
_symmetry_equiv_pos_as_xyz
'x,y,z'
'-x,-y,-z'
'-x,y,-z'
'x,-y,z'
loop_
_atom_site_label
_atom_site_type_symbol
_atom_site_fract_x
_atom_site_fract_y
_atom_site_fract_z
Sr1 Sr 0.000 0.000 0.000
La1 La 0.500 0.000 0.500
Tc1 Tc 0.222 0.500 0.649
# Excess energy over the best structure of this formula in the dataset in meV per atom: 290
# Mass density in g/cm3: 6.534
# M_tot in Bohr magnetons per cell: 0.0
# Uncorrected energy in eV for the cell shown: -25.0
# Volume in A^3/atom: 26.85
# ΔH_f (0 K) in eV per formula unit: 2.4


# FeReAg2S PBE-GGA relaxed
data_FeReAg2S
_symmetry_space_group_name_H-M 'P 4/m m m'
_symmetry_Int_Tables_number 123
_symmetry_space_group_name_Hall '-P 4 2'
_cell_length_a 4.815
_cell_length_b 4.815
_cell_length_c 4.361
_cell_angle_alpha 90.00
_cell_angle_beta 90.00
_cell_angle_gamma 90.00
loop_
_atom_site_label
_atom_site_type_symbol
_atom_site_fract_x
_atom_site_fract_y
_atom_site_fract_z
Fe1 Fe 0.000 0.000 0.000
Re1 Re 0.000 0.000 0.500
Ag1 Ag 0.000 0.500 0.000
S1 S 0.500 0.500 0.500
# Excess energy over the best structure of this formula in the dataset in meV per atom: 228
# Mass density in g/cm3: 8.046
# M_tot in Bohr magnetons per cell: 2.8
# Raw formation energy in eV/f.u.: 7.56
# Uncorrected energy in eV for the cell shown: -23.2
# Volume in A^3/atom: 20.22


# ScUI6 PBE-GGA relaxed
data_ScUI6
_symmetry_space_group_name_H-M 'C 1 2/m 1'
_symmetry_Int_Tables_number 12
_cell_length_a 7.389
_cell_length_b 14.250
_cell_length_c 7.389
_cell_angle_alpha 90.00
_cell_angle_beta 108.51
_cell_angle_gamma 90.00
loop_
_symmetry_equiv_pos_as_xyz
'x,y,z'
'-x,-y,-z'
'-x,y,-z'
'x,-y,z'
'x+1/2,y+1/2,z'
'-x+1/2,-y+1/2,-z'
'-x+1/2,y+1/2,-z'
'x+1/2,-y+1/2,z'
loop_
_atom_site_label
_atom_site_type_symbol
_atom_site_fract_x
_atom_site_fract_y
_atom_site_fract_z
Sc1 Sc 0.000 0.000 0.000
U1 U 0.000 0.500 0.500
I1 I 0.235 0.147 0.235
I2 I 0.243 0.000 0.757
# Mass density in g/cm3: 4.701
# M_tot in Bohr magnetons per cell: 6.0
# Raw formation energy in eV/f.u.: -7.79
# Uncorrected energy in eV for the cell shown: -69.4
# Volume in A^3/atom: 46.11


# Nd4DyZn PBE-GGA relaxed
data_Nd4DyZn
_symmetry_space_group_name_H-M 'P 4/m m m'
_symmetry_Int_Tables_number 123
_symmetry_space_group_name_Hall '-P 4 2'
_cell_length_a 3.666
_cell_length_b 3.666
_cell_length_c 13.979
_cell_angle_alpha 90.00
_cell_angle_beta 90.00
_cell_angle_gamma 90.00
loop_
_atom_site_label
_atom_site_type_symbol
_atom_site_fract_x
_atom_site_fract_y
_atom_site_fract_z
Nd1 Nd 0.000 0.000 0.132
Nd2 Nd 0.500 0.500 0.320
Dy1 Dy 0.000 0.000 0.500
Zn1 Zn 0.500 0.500 0.000
# Excess energy over the best structure of this formula in the dataset in meV per atom: 0
# Mass density in g/cm3: 7.114
# M_tot in Bohr magnetons per cell: 0.0
# Uncorrected energy in eV for the cell shown: -25.5
# Volume in A^3/atom: 31.31
# ΔH_f (0 K) in eV per formula unit: -0.6


# Nb3ZnRh6 PBE-GGA relaxed
data_Nb3ZnRh6
_symmetry_space_group_name_H-M 'P -1'
_symmetry_Int_Tables_number 2
_cell_length_a 4.500
_cell_length_b 7.522
_cell_length_c 9.714
_cell_angle_alpha 111.32
_cell_angle_beta 90.06
_cell_angle_gamma 90.03
loop_
_symmetry_equiv_pos_as_xyz
'x,y,z'
'-x,-y,-z'
loop_
_atom_site_label
_atom_site_type_symbol
_atom_site_fract_x
_atom_site_fract_y
_atom_site_fract_z
Nb1 Nb 0.249 0.432 0.277
Nb2 Nb 0.250 0.201 0.480
Nb3 Nb 0.250 0.845 0.874
Zn1 Zn 0.249 0.617 0.069
Rh1 Rh 0.250 0.000 0.173
Rh2 Rh 0.250 0.008 0.670
Rh3 Rh 0.250 0.612 0.575
Rh4 Rh 0.250 0.802 0.363
Rh5 Rh 0.251 0.225 0.985
Rh6 Rh 0.251 0.416 0.779
# Mass density in g/cm3: 10.426
# M_tot in Bohr magnetons per cell: 0.0
# Uncorrected energy in eV for the cell shown: -160.1
# Volume in A^3/atom: 15.31
# ΔH_f (0 K) in eV per formula unit: -4.5


# ZrSbNF2 PBE-GGA relaxed
data_ZrSbNF2
_symmetry_space_group_name_H-M 'P 4/m m m'
_symmetry_Int_Tables_number 123
_symmetry_space_group_name_Hall '-P 4 2'
_cell_length_a 4.357
_cell_length_b 4.357
_cell_length_c 4.476
_cell_angle_alpha 90.00
_cell_angle_beta 90.00
_cell_angle_gamma 90.00
loop_
_atom_site_label
_atom_site_type_symbol
_atom_site_fract_x
_atom_site_fract_y
_atom_site_fract_z
Zr1 Zr 0.000 0.000 0.000
Sb1 Sb 0.500 0.500 0.500
N1 N 0.500 0.500 0.000
F1 F 0.000 0.500 0.500
# Excess energy over the best structure of this formula in the dataset in meV per atom: 1078
# Mass density in g/cm3: 5.179
# M_tot in Bohr magnetons per cell: 2.2
# Raw formation energy in eV/f.u.: -1.56
# Uncorrected energy in eV for the cell shown: -26.3
# Volume in A^3/atom: 16.99


# Ac5OsAu2O PBE-GGA relaxed
data_Ac5OsAu2O
_symmetry_space_group_name_H-M 'C m c 21'
_symmetry_Int_Tables_number 36
_cell_length_a 4.355
_cell_length_b 18.831
_cell_length_c 13.912
_cell_angle_alpha 90.00
_cell_angle_beta 90.00
_cell_angle_gamma 90.00
loop_
_symmetry_equiv_pos_as_xyz
'x,y,z'
'-x,-y,z+1/2'
'-x,y,z'
'x,-y,z+1/2'
'x+1/2,y+1/2,z'
'-x+1/2,-y+1/2,z+1/2'
'-x+1/2,y+1/2,z'
'x+1/2,-y+1/2,z+1/2'
loop_
_atom_site_label
_atom_site_type_symbol
_atom_site_fract_x
_atom_site_fract_y
_atom_site_fract_z
Ac1 Ac 0.000 0.001 0.000
Ac2 Ac 0.000 0.143 0.242
Ac3 Ac 0.000 0.194 0.613
Ac4 Ac 0.000 0.212 0.903
Ac5 Ac 0.000 0.451 0.235
Os1 Os 0.000 0.295 0.259
Au1 Au 0.000 0.376 0.562
Au2 Au 0.000 0.390 0.918
O1 O 0.000 0.057 0.653
# Mass density in g/cm3: 10.103
# M_tot in Bohr magnetons per cell: 0.0
# Raw formation energy in eV/f.u.: -8.81
# Uncorrected energy in eV for the cell shown: -208.4
# Volume in A^3/atom: 31.69


- The highest uncorrected energy belongs to which entry?
  FeReAg2S


- Among the records above, which one has the highest mass density?
  AsPt2Br


- Number 6 is which compound?
  ScUI6


- Number 7 is which compound?
  Nd4DyZn